MnVAgO4: relaxed, PBE+U.

Calculated values
* density: 5.019 g/cm³
* M_tot: 0.714 μB/atom
* raw total energy: -192.0 eV per cell

Unit cell a=9.763 b=6.919 c=5.442 alpha=90.00 beta=90.00 gamma=90.00
Fractional coordinates of all 28 atoms:
1 Mn 0.000 0.000 0.000
2 Mn 0.000 0.500 0.000
3 Mn 0.500 0.000 0.500
4 Mn 0.500 0.500 0.500
5 V 0.178 0.250 0.480
6 V 0.322 0.750 0.980
7 V 0.678 0.250 0.020
8 V 0.822 0.750 0.520
9 Ag 0.152 0.750 0.501
10 Ag 0.348 0.250 0.001
11 Ag 0.652 0.750 0.999
12 Ag 0.848 0.250 0.499
13 O 0.115 0.051 0.324
14 O 0.115 0.449 0.324
15 O 0.118 0.250 0.788
16 O 0.138 0.750 0.940
17 O 0.362 0.250 0.440
18 O 0.382 0.750 0.288
19 O 0.385 0.551 0.824
20 O 0.385 0.949 0.824
21 O 0.615 0.051 0.176
22 O 0.615 0.449 0.176
23 O 0.618 0.250 0.712
24 O 0.638 0.750 0.560
25 O 0.862 0.250 0.060
26 O 0.882 0.750 0.212
27 O 0.885 0.551 0.676
28 O 0.885 0.949 0.676